The following is a DFT calculation (PBE) of crystalline La2In2Ru at its relaxed geometry.

* relative energy among the computed polymorphs: 710 meV per atom
* calculated formation energy: 0.58 eV/atom
* magnetic moment: 0.905 μB per formula unit

```
data_La2In2Ru
_space_group_name_H-M_alt 'I 4/m m m'
_space_group_IT_number 139
_space_group_name_Hall '-I 4 2'
_cell_length_a 4.154
_cell_length_b 4.154
_cell_length_c 15.402
_cell_angle_alpha 90.00
_cell_angle_beta 90.00
_cell_angle_gamma 90.00
loop_
_atom_site_label
_atom_site_fract_x
_atom_site_fract_y
_atom_site_fract_z
_atom_site_occupancy
La1 0.000 0.500 0.250 1
In1 0.000 0.000 0.085 1
Ru1 0.000 0.000 0.500 1
```